(1)
CdSb2TeSe, optimized geometry, DFT PBE-GGA; ΔE to the lowest computed polymorph = 0 meV per atom; space group = P4/mmm, No. 123
1.0
5.4913 0.0000 0.0000
0.0000 5.4913 0.0000
0.0000 0.0000 5.4696
Sb Se Cd Te
2 1 1 1
Cartesian
0.0000 2.7456 0.0000
2.7456 0.0000 0.0000
0.0000 0.0000 0.0000
2.7456 2.7456 2.7348
0.0000 0.0000 2.7348

---

(2)
CdSb2TeSe, optimized geometry, DFT PBE-GGA; ΔE to the lowest computed polymorph = 264 meV per atom; space group = P4/mmm, No. 123
1.0
-3.2685 -0.4106 -4.4742
-0.8754 -5.3686 1.1322
-4.2908 1.3349 3.0120
Se Te Cd Sb
1 1 1 2
Cartesian
-4.2174 -2.2222 -0.1650
-2.1454 0.6674 1.5060
0.0000 0.0000 0.0000
-0.4377 -2.6843 0.5661
-1.6343 -0.2053 -2.2371

---

(3)
Tl2CdSbSe4, optimized geometry, DFT PBE-GGA; space group = Imma, No. 74; final energy = -3.33 eV/atom
1.0
-7.7869 -1.4161 -3.1905
3.4999 -2.1483 -7.4804
2.4395 -3.9684 7.0956
Se Sb Cd Tl
8 2 2 4
Cartesian
0.2093 -2.7947 0.6742
1.8269 -3.7967 -2.7502
-0.8992 -0.9869 -2.5508
-2.0568 -4.7381 -4.2496
3.2601 -5.7947 0.7164
-5.1078 -1.7381 -4.2917
-3.6745 -3.7361 -0.8250
-0.9484 -6.5460 -1.0245
-4.8173 -4.4744 -3.3829
1.7499 -1.0742 -3.7402
-5.3474 -5.3845 3.9051
-0.9238 -3.7664 -1.7877
-3.8935 -0.7081 -1.5953
1.2197 -1.9842 3.5478
-2.1435 -1.7822 -5.3354
-2.6737 -2.6922 1.9525

---

(4)
TlCdSbSe3, optimized geometry, DFT PBE-GGA; space group = P2_1/m, No. 11; final energy = -3.38 eV/atom
1.0
-3.2825 2.3584 -1.3568
-2.8839 0.8824 8.5105
6.0397 7.8479 -0.9701
Tl Se Cd Sb
2 6 2 2
Cartesian
-0.1478 8.5304 5.1371
0.0211 2.5583 1.0464
-2.8400 3.2828 2.5287
4.1543 7.6377 -0.1237
2.7133 7.8059 3.6548
-0.0088 5.9557 0.3254
-4.2810 3.4510 6.3072
-0.1179 5.1330 5.8580
2.5888 5.4532 -0.1337
-2.7156 5.6355 6.3171
1.8466 8.9287 1.0046
-1.9733 2.1600 5.1789

---

(5)
Cd12Si3Sb5, optimized geometry, DFT PBE-GGA; space group = Ia-3d, No. 230; final energy = -2.22 eV/atom
1.0
-6.6662 -8.9111 8.9715
6.4722 -7.5422 -10.2743
9.7432 7.5951 7.1916
Cd Si Sb
48 12 20
Cartesian
10.5172 -2.9577 2.3455
2.7238 -0.4761 0.9611
4.1079 -6.7987 1.3600
2.9547 -2.5981 13.5342
5.7050 -2.4828 9.8354
5.7746 -3.8599 0.2526
8.0878 -3.0940 6.2620
9.4708 -2.4265 -2.3750
10.4425 2.3631 2.0440
8.8384 1.0483 4.2830
3.7166 -0.1660 6.1885
5.8326 -8.6923 -0.2997
6.8254 -8.3822 4.9277
7.2765 -5.9325 2.7202
0.7109 -9.9066 1.6059
10.8402 0.2814 -0.5223
8.9437 -5.2640 -5.9708
2.2728 -2.9257 3.1687
-0.8933 -11.2213 3.8449
0.0785 -6.4317 8.2638
8.1951 -1.6558 0.8529
6.5110 -5.6888 -2.0771
6.7931 3.2379 5.7322
2.7561 -12.0961 0.1566
3.8442 -6.3754 -3.9465
2.0725 -8.4656 -2.6023
5.4413 -2.0595 4.5289
-1.4030 -4.2842 6.6801
3.7747 -4.9983 5.6363
12.9947 -1.7960 0.0755
1.2277 -13.9324 -1.7426
0.6957 -1.9424 5.5896
-0.9679 -5.9005 3.5434
4.9253 1.4303 1.8744
0.6055 -3.5942 11.8597
1.4614 -5.7642 -0.3731
10.9522 -4.5740 -0.7912
7.4767 -0.3926 8.4911
8.3215 5.0742 7.6314
4.6239 -10.2886 4.0145
-1.2910 -9.1396 6.4112
-3.4454 -7.0622 5.8133
8.8535 -6.9158 0.2993
6.5946 -6.2601 -7.6453
1.3541 -7.2024 5.0360
2.2448 -3.6093 -2.3874
3.0383 -3.1694 7.9660
7.3045 -5.2489 8.2763
10.9039 -0.2959 2.1141
1.1054 -4.6068 5.7355
0.2392 -12.5045 1.0433
5.5681 -2.7014 7.1481
3.9811 -6.1568 -1.2592
6.7531 -8.5358 2.2334
12.1373 -2.0170 -2.4748
2.7962 -0.3224 3.6554
8.4439 -4.2514 0.1534
9.3101 3.6463 4.8455
-2.5881 -6.8412 8.3637
-1.3547 -8.5623 3.7747
3.2361 -3.7711 -5.1371
0.3361 -4.2778 1.6947
5.2146 -7.8778 -5.8481
0.0000 0.0000 0.0000
4.8716 3.7976 3.5958
3.9326 -10.2701 -1.5849
4.0296 -2.0434 -0.9335
4.7746 -4.4291 2.9444
1.8746 -4.9358 9.7763
8.1077 0.0265 -1.5413
-3.3331 -4.4556 4.4858
4.3347 -0.9804 11.7370
5.5196 -6.8148 6.8224
6.8500 -0.3092 2.8848
7.6746 -3.9224 -3.8874
1.5385 -0.6580 8.0816
-0.0970 -8.2267 -0.6514
2.6992 -8.5490 3.0041
5.6166 1.4119 7.4737
9.2131 -4.5804 4.1942

---

(6)
CdSiSb2, optimized geometry, DFT PBE-GGA; space group = P4mm, No. 99; final energy = -3.36 eV/atom
1.0
-1.9365 3.1242 1.5156
-1.6275 -2.3496 2.7638
5.0290 1.1899 3.9731
Sb Si Cd
2 1 1
Cartesian
-0.0736 0.7915 3.4894
4.5305 1.0720 3.5793
2.3711 0.5610 1.8733
2.1803 1.3248 5.2700

---

- What is the formula in the second record?
  CdSb2TeSe